A geometry-optimized La2MnAl structure. Source: Alexandria, functional PBE.

Lattice parameters (Å, degrees): 6.1731 6.1731 5.0709 65.74 65.74 36.26
Positions (direct):
Mn (0.5402, 0.5402, 0.4602)
Al (0.2044, 0.2044, 0.2952)
La (0.9808, 0.9808, 0.0193)
La (0.7745, 0.7745, 0.7253)

Calculated values
**E_form**: -0.041 eV per atom
**Space-group type**: Imm2, No. 44